Tm4Tl3Ni | PBE | relaxed

Cell lengths 3.5165, 3.5165, 15.8463 Å; angles 90.00, 90.00, 90.00 degrees
Last column: nearest neighbours and their distance in Å.
Fractional coordinates of all 8 atoms:
Tl: 0.5000 0.5000 0.2348  8 Tm 3.24-3.29, 4 Tl 3.52
Tl: 0.5000 0.5000 0.5000  8 Tm 3.27, 4 Tl 3.52
Tl: 0.5000 0.5000 0.7652  8 Tm 3.24-3.29, 4 Tl 3.52
Tm: 0.0000 0.0000 0.0992  4 Ni 2.94, 1 Tm 3.14, 4 Tl 3.29
Tm: 0.0000 0.0000 0.9008  4 Ni 2.94, 1 Tm 3.14, 4 Tl 3.29
Tm: 0.0000 0.0000 0.3662  8 Tl 3.24-3.27, 4 Tm 3.52
Tm: 0.0000 0.0000 0.6338  8 Tl 3.24-3.27, 4 Tm 3.52
Ni: 0.5000 0.5000 0.0000  8 Tm 2.94

Output
As for the symmetry: P4/mmm, No. 123. Its energy of formation from the pure elements is -0.337 eV/atom. The spin magnetization comes out at 0.0426 μB/atom. As for the crystal system: tetragonal.